1.
{"formula": "NaTlGaHg", "functional": "PBE", "state": "optimized geometry", "e_form_ev_per_atom": -0.07, "dos_ef_per_ev_atom": 0.45, "lattice": [[0.000, 3.659, 3.659], [3.659, 0.000, 3.659], [3.659, 3.659, 0.000]], "species": ["Na", "Tl", "Ga", "Hg"], "frac_coords": [[0.000, 0.000, 0.000], [0.250, 0.250, 0.250], [0.500, 0.500, 0.500], [0.750, 0.750, 0.750]]}

2.
{"formula": "YFeCo2Te", "functional": "PBE", "state": "optimized geometry", "dos_ef_per_ev_atom": 1.19, "formation_energy_uncorrected_mev_per_atom": 989, "lattice": [[4.624, 0.000, 0.000], [0.000, 4.624, 0.000], [0.000, 0.000, 5.659]], "species": ["Y", "Fe", "Co", "Co", "Te"], "frac_coords": [[0.000, 0.000, 0.000], [0.500, 0.500, 0.000], [0.000, 0.500, 0.500], [0.500, 0.000, 0.500], [0.000, 0.000, 0.500]]}

3.
{"formula": "CaMoPb2", "functional": "PBE", "state": "optimized geometry", "e_form_ev_per_atom": 0.50, "polymorph_energy_mev_per_atom": 299, "dos_ef_per_ev_atom": 0.96, "lattice": [[1.961, -2.506, 0.000], [1.961, 2.506, 0.000], [0.000, 0.000, 10.796]], "species": ["Ca", "Mo", "Pb", "Pb"], "frac_coords": [[0.000, 0.000, 0.000], [0.500, 0.500, 0.217], [0.000, 0.000, 0.421], [0.500, 0.500, 0.730]]}

4.
{"formula": "Ba2NaSb2", "functional": "PBE", "state": "optimized geometry", "polymorph_energy_mev_per_atom": 165, "dos_ef_per_ev_atom": 0.30, "formation_energy_uncorrected_mev_per_atom": -668, "lattice": [[10.133, 0.000, 0.000], [0.000, 10.133, 0.000], [0.000, 0.000, 3.876]], "species": ["Ba", "Ba", "Ba", "Ba", "Na", "Na", "Sb", "Sb", "Sb", "Sb"], "frac_coords": [[0.132, 0.368, 0.000], [0.368, 0.868, 0.000], [0.632, 0.132, 0.000], [0.868, 0.632, 0.000], [0.000, 0.000, 0.000], [0.500, 0.500, 0.000], [0.167, 0.667, 0.500], [0.333, 0.167, 0.500], [0.667, 0.833, 0.500], [0.833, 0.333, 0.500]]}

5.
{"formula": "AlRh5", "functional": "PBE", "state": "optimized geometry", "e_form_ev_per_atom": -0.29, "dos_ef_per_ev_atom": 1.19, "lattice": [[4.881, -1.373, 0.000], [4.881, 1.373, 0.000], [-1.806, 0.000, 6.315]], "species": ["Al", "Rh", "Rh", "Rh", "Rh", "Rh"], "frac_coords": [[0.000, 0.000, 0.000], [0.061, 0.061, 0.603], [0.344, 0.344, 0.678], [0.388, 0.388, 0.271], [0.664, 0.664, 0.324], [0.719, 0.719, 0.945]]}

What did the first record say?
{"formula": "NaTlGaHg", "functional": "PBE", "state": "optimized geometry", "e_form_ev_per_atom": -0.07, "dos_ef_per_ev_atom": 0.45, "lattice": [[0.000, 3.659, 3.659], [3.659, 0.000, 3.659], [3.659, 3.659, 0.000]], "species": ["Na", "Tl", "Ga", "Hg"], "frac_coords": [[0.000, 0.000, 0.000], [0.250, 0.250, 0.250], [0.500, 0.500, 0.500], [0.750, 0.750, 0.750]]}